(1)
Computed, not measured: a geometry-optimized YBOF2 structure at the PBE-GGA level of DFT.

Computed properties:
* symmetry: P4/mmm (123)
* D(E_F): 0.000 states/eV/atom
* crystal system: tetragonal
* uncorrected formation energy: -1.672 eV/atom
* energy above the most stable polymorph in this dataset: 0.0 kJ per mole of atoms

Lattice parameters (Å, degrees): 4.3681 4.3681 4.4439 90.00 90.00 90.00
Closest atoms and distances in Å follow each position.
Atoms (fractional coordinates):
Y 0.0000 0.0000 0.0000  4 F 2.18, 2 O 2.22
B 0.5000 0.5000 0.5000  4 O 3.09, 8 F 3.12
O 0.0000 0.0000 0.5000  2 Y 2.22
F 0.0000 0.5000 0.0000  2 Y 2.18
F 0.5000 0.0000 0.0000  2 Y 2.18

(2)
Computed, not measured: a geometry-optimized ZnB2OF structure at the PBE-GGA level of DFT.

Computed properties:
* symmetry: P4/mmm (123)
* D(E_F): 0.459 states/eV/atom
* crystal system: tetragonal
* uncorrected formation energy: 1.092 eV/atom

Lattice parameters (Å, degrees): 4.2305 4.2305 3.6894 90.00 90.00 90.00
Closest atoms and distances in Å follow each position.
Atoms (fractional coordinates):
Zn 0.0000 0.0000 0.0000  2 O 1.84
B 0.0000 0.5000 0.0000  2 Zn 2.12
B 0.5000 0.0000 0.0000  2 Zn 2.12
O 0.0000 0.0000 0.5000  2 Zn 1.84
F 0.5000 0.5000 0.5000  8 B 2.81, 4 O 2.99

(3)
Computed, not measured: a geometry-optimized ZrBO2F structure at the PBE-GGA level of DFT.

Computed properties:
* symmetry: P4/mmm (123)
* crystal system: tetragonal
* uncorrected formation energy: -1.424 eV/atom

Lattice parameters (Å, degrees): 4.1479 4.1479 4.1972 90.00 90.00 90.00
Closest atoms and distances in Å follow each position.
Atoms (fractional coordinates):
Zr 0.0000 0.0000 0.0000  4 O 2.07, 2 F 2.10
B 0.5000 0.5000 0.5000  4 F 2.93, 8 O 2.95
O 0.0000 0.5000 0.0000  2 Zr 2.07
O 0.5000 0.0000 0.0000  2 Zr 2.07
F 0.0000 0.0000 0.5000  2 Zr 2.10

(4)
Computed, not measured: a geometry-optimized ZrBO2F structure at the PBE-GGA level of DFT.

Computed properties:
* symmetry: P4/mmm (123)
* D(E_F): 0.436 states/eV/atom
* crystal system: tetragonal
* uncorrected formation energy: -1.182 eV/atom

Lattice parameters (Å, degrees): 3.3613 3.3613 4.0368 90.00 90.00 90.00
Closest atoms and distances in Å follow each position.
Atoms (fractional coordinates):
Zr 0.0000 0.0000 0.0000  4 F 2.38, 8 O 2.63
B 0.5000 0.5000 0.5000  4 O 1.68
O 0.0000 0.5000 0.5000  2 B 1.68
O 0.5000 0.0000 0.5000  2 B 1.68
F 0.5000 0.5000 0.0000  2 B 2.02

(5)
Computed, not measured: a geometry-optimized BOs2F structure at the PBE-GGA level of DFT.

Computed properties:
* symmetry: I-42d (122)
* D(E_F): 1.177 states/eV/atom
* crystal system: tetragonal
* uncorrected formation energy: 0.626 eV/atom

Lattice parameters (Å, degrees): 7.2935 7.2935 7.2935 148.57 148.57 45.05
Closest atoms and distances in Å follow each position.
Atoms (fractional coordinates):
B 0.0000 0.0000 0.0000  4 Os 2.10
B 0.7500 0.2500 0.5000  4 Os 2.10
Os 0.0734 0.6250 0.9484  2 B 2.10, 2 F 2.29
Os 0.3750 0.3234 0.4484  2 B 2.10, 2 F 2.29
Os 0.6766 0.1250 0.0516  2 B 2.10, 2 F 2.29
Os 0.8750 0.9266 0.5516  2 B 2.10, 2 F 2.29
F 0.2500 0.7500 0.5000  4 Os 2.29
F 0.5000 0.5000 0.0000  4 Os 2.29

(6)
Computed, not measured: a geometry-optimized BOsF3 structure at the PBE-GGA level of DFT.

Computed properties:
* symmetry: Pm-3m (221)
* D(E_F): 0.965 states/eV/atom
* crystal system: cubic
* uncorrected formation energy: 0.291 eV/atom
* energy above the most stable polymorph in this dataset: 0.0 kJ per mole of atoms

Lattice parameters (Å, degrees): 4.1362 4.1362 4.1362 90.00 90.00 90.00
Closest atoms and distances in Å follow each position.
Atoms (fractional coordinates):
B 0.0000 0.0000 0.0000  12 F 2.92
Os 0.5000 0.5000 0.5000  6 F 2.07
F 0.0000 0.5000 0.5000  2 Os 2.07
F 0.5000 0.0000 0.5000  2 Os 2.07
F 0.5000 0.5000 0.0000  2 Os 2.07

(7)
Computed, not measured: a geometry-optimized BOsF3 structure at the PBE-GGA level of DFT.

Computed properties:
* symmetry: Pm-3m (221)
* D(E_F): 0.711 states/eV/atom
* crystal system: cubic
* uncorrected formation energy: 0.567 eV/atom
* energy above the most stable polymorph in this dataset: 26.6 kJ per mole of atoms

Lattice parameters (Å, degrees): 3.8851 3.8851 3.8851 90.00 90.00 90.00
Closest atoms and distances in Å follow each position.
Atoms (fractional coordinates):
B 0.0000 0.0000 0.0000  6 F 1.94
Os 0.5000 0.5000 0.5000  12 F 2.75
F 0.0000 0.0000 0.5000  2 B 1.94
F 0.0000 0.5000 0.0000  2 B 1.94
F 0.5000 0.0000 0.0000  2 B 1.94

(8)
Computed, not measured: a geometry-optimized BOsF2 structure at the PBE-GGA level of DFT.

Computed properties:
* symmetry: Fd-3m (227)
* D(E_F): 0.256 states/eV/atom
* crystal system: cubic
* uncorrected formation energy: 0.833 eV/atom
* energy above the most stable polymorph in this dataset: 68.1 kJ per mole of atoms

Lattice parameters (Å, degrees): 5.1540 5.1540 5.1540 60.00 60.00 60.00
Closest atoms and distances in Å follow each position.
Atoms (fractional coordinates):
B 0.1250 0.1250 0.1250  4 F 1.58
B 0.8750 0.8750 0.8750  4 F 1.58
Os 0.3750 0.3750 0.3750  12 F 3.02, 4 Os 3.16, 4 B 3.16
Os 0.6250 0.6250 0.6250  12 F 3.02, 4 Os 3.16, 4 B 3.16
F 0.0000 0.0000 0.0000  2 B 1.58
F 0.0000 0.0000 0.5000  2 B 1.58
F 0.0000 0.5000 0.0000  2 B 1.58
F 0.5000 0.0000 0.0000  2 B 1.58

(9)
Computed, not measured: a geometry-optimized BOsF structure at the PBE-GGA level of DFT.

Computed properties:
* symmetry: Pbcm (57)
* D(E_F): 0.469 states/eV/atom
* crystal system: orthorhombic
* uncorrected formation energy: -0.792 eV/atom

Lattice parameters (Å, degrees): 7.6458 5.2402 4.4047 90.00 90.00 90.00
Closest atoms and distances in Å follow each position.
Atoms (fractional coordinates):
B 0.1952 0.0278 0.2500  1 F 1.33
B 0.1952 0.4722 0.7500  1 F 1.33
B 0.8048 0.5278 0.2500  1 F 1.33
B 0.8048 0.9722 0.7500  1 F 1.33
Os 0.0598 0.1071 0.7500  2 B 2.07-2.18
Os 0.0598 0.3929 0.2500  2 B 2.07-2.18
Os 0.9402 0.6071 0.7500  2 B 2.07-2.18
Os 0.9402 0.8929 0.2500  2 B 2.07-2.18
F 0.3601 0.5537 0.7500  1 B 1.33
F 0.3601 0.9463 0.2500  1 B 1.33
F 0.6399 0.0537 0.7500  1 B 1.33
F 0.6399 0.4463 0.2500  1 B 1.33

(10)
Computed, not measured: a geometry-optimized B3OsF structure at the PBE-GGA level of DFT.

Computed properties:
* symmetry: Pm-3m (221)
* D(E_F): 0.657 states/eV/atom
* crystal system: cubic
* uncorrected formation energy: 1.597 eV/atom
* energy above the most stable polymorph in this dataset: 84.5 kJ per mole of atoms

Lattice parameters (Å, degrees): 3.5544 3.5544 3.5544 90.00 90.00 90.00
Closest atoms and distances in Å follow each position.
Atoms (fractional coordinates):
B 0.0000 0.0000 0.5000  2 F 1.78
B 0.0000 0.5000 0.0000  2 F 1.78
B 0.5000 0.0000 0.0000  2 F 1.78
Os 0.5000 0.5000 0.5000  12 B 2.51
F 0.0000 0.0000 0.0000  6 B 1.78

(11)
Computed, not measured: a geometry-optimized BOs2F structure at the PBE-GGA level of DFT.

Computed properties:
* symmetry: Fm-3m (225)
* D(E_F): 1.218 states/eV/atom
* crystal system: cubic
* uncorrected formation energy: 0.628 eV/atom

Lattice parameters (Å, degrees): 3.9521 3.9521 3.9521 60.00 60.00 60.00
Closest atoms and distances in Å follow each position.
Atoms (fractional coordinates):
B 0.0000 0.0000 0.0000  8 Os 2.42
Os 0.2500 0.2500 0.2500  4 F 2.42, 4 B 2.42
Os 0.7500 0.7500 0.7500  4 F 2.42, 4 B 2.42
F 0.5000 0.5000 0.5000  8 Os 2.42

(12)
Computed, not measured: a geometry-optimized BOsF2 structure at the PBE-GGA level of DFT.

Computed properties:
* symmetry: R-3m (166)
* D(E_F): 0.575 states/eV/atom
* crystal system: trigonal
* uncorrected formation energy: 0.127 eV/atom
* energy above the most stable polymorph in this dataset: 0.0 kJ per mole of atoms

Lattice parameters (Å, degrees): 8.1424 8.1424 8.1424 18.63 18.63 18.63
Closest atoms and distances in Å follow each position.
Atoms (fractional coordinates):
B 0.0000 0.0000 0.0000  6 F 2.56, 6 B 2.64
Os 0.5000 0.5000 0.5000  2 F 1.94
F 0.4192 0.4192 0.4192  1 Os 1.94
F 0.5808 0.5808 0.5808  1 Os 1.94

(13)
Computed, not measured: a geometry-optimized BOsF2 structure at the PBE-GGA level of DFT.

Computed properties:
* symmetry: Fm-3m (225)
* D(E_F): 0.240 states/eV/atom
* crystal system: cubic
* uncorrected formation energy: 1.001 eV/atom
* energy above the most stable polymorph in this dataset: 84.4 kJ per mole of atoms

Lattice parameters (Å, degrees): 4.0027 4.0027 4.0027 60.00 60.00 60.00
Closest atoms and distances in Å follow each position.
Atoms (fractional coordinates):
B 0.0000 0.0000 0.0000  8 F 2.45
Os 0.5000 0.5000 0.5000  8 F 2.45
F 0.2500 0.2500 0.2500  4 Os 2.45, 4 B 2.45
F 0.7500 0.7500 0.7500  4 Os 2.45, 4 B 2.45

(14)
Computed, not measured: a geometry-optimized B3OsF structure at the PBE-GGA level of DFT.

Computed properties:
* symmetry: Pm-3m (221)
* D(E_F): 0.320 states/eV/atom
* crystal system: cubic
* uncorrected formation energy: 0.722 eV/atom
* energy above the most stable polymorph in this dataset: 0.0 kJ per mole of atoms

Lattice parameters (Å, degrees): 4.0745 4.0745 4.0745 90.00 90.00 90.00
Closest atoms and distances in Å follow each position.
Atoms (fractional coordinates):
B 0.0000 0.0000 0.5000  2 Os 2.04
B 0.0000 0.5000 0.0000  2 Os 2.04
B 0.5000 0.0000 0.0000  2 Os 2.04
Os 0.0000 0.0000 0.0000  6 B 2.04
F 0.5000 0.5000 0.5000  12 B 2.88